DFT (SCAN) results for a PBEsol-optimized structure of ZnFeRe2.

The value obtained for the formation enthalpy at 0 K is 0.862 eV/f.u. The volume comes out at 106 Å³/cell. The total magnetic moment comes out at 4.9 Bohr magnetons per cell.

Cell lengths 8.939, 2.644, 4.562 Å; angles 90.00, 100.98, 90.00 degrees
Space group Cm (No. 8)
Symmetry-distinct sites (fractional):
1 Zn 0.000 0.000 0.000 [2 per cell]
2 Fe 0.248 0.000 0.771 [2 per cell]
3 Re 0.020 0.500 0.515 [2 per cell]
4 Re 0.262 0.500 0.276 [2 per cell]

=====

DFT (SCAN) results for a PBEsol-optimized structure of ZnFeRe2.

The value obtained for the formation enthalpy at 0 K is 0.530 eV/f.u. The volume comes out at 105 Å³/cell. The total magnetic moment comes out at 4.5 Bohr magnetons per cell.

Cell lengths 3.158, 4.137, 8.075 Å; angles 90.00, 90.00, 90.00 degrees
Space group Imm2 (No. 44)
Symmetry-distinct sites (fractional):
1 Zn 0.000 0.000 0.000 [2 per cell]
2 Fe 0.000 0.500 0.737 [2 per cell]
3 Re 0.000 0.000 0.481 [2 per cell]
4 Re 0.000 0.500 0.237 [2 per cell]

=====

DFT (SCAN) results for a PBEsol-optimized structure of ZnFe2Re.

The value obtained for the formation enthalpy at 0 K is 0.451 eV/f.u. The volume comes out at 48 Å³/cell. The total magnetic moment comes out at 3.2 Bohr magnetons per cell.

Cell lengths 2.648, 2.648, 6.870 Å; angles 90.00, 90.00, 90.00 degrees
Space group P4/mmm (No. 123)
Symmetry-distinct sites (fractional):
1 Zn 0.000 0.000 0.000 [1 per cell]
2 Fe 0.500 0.500 0.248 [2 per cell]
3 Re 0.000 0.000 0.500 [1 per cell]

=====

DFT (SCAN) results for a PBEsol-optimized structure of ZrFeRe2.

The value obtained for the formation enthalpy at 0 K is -0.129 eV/f.u. The volume comes out at 122 Å³/cell. The total magnetic moment comes out at 5.0 Bohr magnetons per cell.

Cell lengths 3.137, 4.445, 8.723 Å; angles 90.00, 90.00, 90.00 degrees
Space group Imm2 (No. 44)
Symmetry-distinct sites (fractional):
1 Zr 0.000 0.000 0.000 [2 per cell]
2 Fe 0.000 0.500 0.241 [2 per cell]
3 Re 0.000 0.000 0.500 [2 per cell]
4 Re 0.000 0.500 0.762 [2 per cell]

=====

DFT (SCAN) results for a PBEsol-optimized structure of ZrFe4Re.

The value obtained for the formation enthalpy at 0 K is -0.130 eV/f.u. The volume comes out at 299 Å³/cell. The total magnetic moment comes out at 36.2 Bohr magnetons per cell.

Cell lengths 6.689, 6.689, 6.689 Å; angles 90.00, 90.00, 90.00 degrees
Space group F-43m (No. 216)
Symmetry-distinct sites (fractional):
1 Zr 0.000 0.000 0.000 [4 per cell]
2 Fe 0.125 0.125 0.375 [16 per cell]
3 Re 0.250 0.250 0.750 [4 per cell]

=====

DFT (SCAN) results for a PBEsol-optimized structure of Fe3Rh.

The value obtained for the formation enthalpy at 0 K is -0.749 eV/f.u. The volume comes out at 193 Å³/cell. The total magnetic moment comes out at 37.9 Bohr magnetons per cell.

Cell lengths 5.784, 5.784, 5.784 Å; angles 90.00, 90.00, 90.00 degrees
Space group Fm-3m (No. 225)
Symmetry-distinct sites (fractional):
1 Fe 0.000 0.000 0.000 [4 per cell]
2 Fe 0.250 0.250 0.250 [8 per cell]
3 Rh 0.000 0.000 0.500 [4 per cell]